[1]
InCu2IrRu: relaxed, PBE.

POSCAR file:
```
InCu2IrRu
1.0
4.656 0.000 0.000
0.000 4.656 0.000
0.000 0.000 4.673
In Cu Ir Ru
1 2 1 1
direct
0.000 0.000 0.000
0.000 0.500 0.500
0.500 0.000 0.500
0.500 0.500 0.500
0.500 0.500 0.000
```

Computed properties:
Space group: P4/mmm, No. 123
E (eV per cell): -24.00
Total magnetic moment (μB per formula unit): 0.00
ΔH_f (0 K) (meV per atom): 1013.4
N(E_F) (states/eV/f.u.): 5.3

[2]
HfV2Fe: relaxed, PBE.

POSCAR file:
```
HfV2Fe
1.0
6.105 0.000 0.000
0.000 6.105 0.000
0.000 0.000 6.105
Hf V Fe
4 8 4
direct
0.000 0.000 0.000
0.000 0.500 0.500
0.500 0.000 0.500
0.500 0.500 0.000
0.250 0.250 0.250
0.250 0.250 0.750
0.250 0.750 0.250
0.250 0.750 0.750
0.750 0.250 0.250
0.750 0.250 0.750
0.750 0.750 0.250
0.750 0.750 0.750
0.000 0.000 0.500
0.000 0.500 0.000
0.500 0.000 0.000
0.500 0.500 0.500
```

Computed properties:
Space group: Fm-3m, No. 225
E (eV per cell): -144.33
Polymorph energy (0 for the lowest one) (eV/atom): 0.1301
Total magnetic moment (μB per formula unit): 0.00
ΔH_f (0 K) (meV per atom): 142.9
N(E_F) (states/eV/f.u.): 6.0

[3]
Mg3Mo: relaxed, PBE.

POSCAR file:
```
Mg3Mo
1.0
5.828 0.000 0.000
0.000 9.068 0.000
0.000 0.000 2.848
Mg Mo
6 2
direct
0.000 0.000 0.000
0.250 0.250 0.500
0.250 0.750 0.500
0.500 0.500 0.000
0.750 0.250 0.500
0.750 0.750 0.500
0.000 0.500 0.000
0.500 0.000 0.000
```

Computed properties:
Space group: Cmmm, No. 65
E (eV per cell): -28.94
Polymorph energy (0 for the lowest one) (eV/atom): 0.0899
Total magnetic moment (μB per formula unit): 0.00
ΔH_f (0 K) (meV per atom): 286.6
N(E_F) (states/eV/f.u.): 2.2

[4]
CdTeCl2: relaxed, PBE.

POSCAR file:
```
CdTeCl2
1.0
3.252 0.000 0.000
0.000 3.252 0.000
0.000 0.000 11.304
Cd Te Cl
1 1 2
direct
0.000 0.000 0.000
0.000 0.000 0.500
0.500 0.500 0.143
0.500 0.500 0.857
```

Computed properties:
Space group: P4/mmm, No. 123
Uncorrected formation energy (eV/atom): -0.45
E (eV per cell): -9.55
Polymorph energy (0 for the lowest one) (eV/atom): 0.0908
Total magnetic moment (μB per formula unit): 0.00
N(E_F) (states/eV/f.u.): 0.9

[5]
ZrAlIr2: relaxed, PBE.

POSCAR file:
```
ZrAlIr2
1.0
4.532 0.000 0.000
0.000 3.059 0.000
-1.728 0.000 4.739
Zr Al Ir
1 1 2
direct
0.000 0.000 0.000
0.000 0.500 0.500
0.500 0.000 0.500
0.500 0.500 0.000
```

Computed properties:
Space group: P2/m, No. 10
E (eV per cell): -32.06
Total magnetic moment (μB per formula unit): 0.00
ΔH_f (0 K) (meV per atom): -511.8
N(E_F) (states/eV/f.u.): 2.6

[6]
In2HgBiIr: relaxed, PBE.

POSCAR file:
```
In2HgBiIr
1.0
5.272 0.000 0.000
0.000 5.272 0.000
0.000 0.000 5.440
In Hg Bi Ir
2 1 1 1
direct
0.000 0.500 0.000
0.500 0.000 0.000
0.000 0.000 0.500
0.500 0.500 0.500
0.500 0.500 0.000
```

Computed properties:
Space group: P4/mmm, No. 123
E (eV per cell): -18.09
Total magnetic moment (μB per formula unit): 0.00
ΔH_f (0 K) (meV per atom): 86.2
N(E_F) (states/eV/f.u.): 3.9

[7]
LaHo5Tl6: relaxed, PBE.

POSCAR file:
```
LaHo5Tl6
1.0
-2.711 3.771 8.149
2.711 -3.771 8.149
2.711 3.771 -8.149
La Ho Tl
1 5 6
direct
0.000 0.000 0.000
0.162 0.662 0.500
0.332 0.332 0.000
0.500 0.000 0.500
0.668 0.668 0.000
0.838 0.338 0.500
0.086 0.829 0.257
0.264 0.500 0.764
0.428 0.171 0.257
0.572 0.829 0.743
0.736 0.500 0.236
0.914 0.171 0.743
```

Computed properties:
Space group: Immm, No. 71
E (eV per cell): -46.07
Polymorph energy (0 for the lowest one) (eV/atom): 0.0000
Total magnetic moment (μB per formula unit): 0.00
ΔH_f (0 K) (meV per atom): -338.1
N(E_F) (states/eV/f.u.): 9.7

[8]
SrRuSe2: relaxed, PBE.

POSCAR file:
```
SrRuSe2
1.0
6.915 0.000 0.000
0.000 6.915 0.000
0.000 0.000 6.915
Sr Ru Se
4 4 8
direct
0.000 0.000 0.000
0.000 0.500 0.500
0.500 0.000 0.500
0.500 0.500 0.000
0.000 0.000 0.500
0.000 0.500 0.000
0.500 0.000 0.000
0.500 0.500 0.500
0.250 0.250 0.250
0.250 0.250 0.750
0.250 0.750 0.250
0.250 0.750 0.750
0.750 0.250 0.250
0.750 0.250 0.750
0.750 0.750 0.250
0.750 0.750 0.750
```

Computed properties:
Space group: Fm-3m, No. 225
Uncorrected formation energy (eV/atom): -0.36
E (eV per cell): -77.44
Polymorph energy (0 for the lowest one) (eV/atom): 0.5278
Total magnetic moment (μB per formula unit): 0.00
N(E_F) (states/eV/f.u.): 3.2

[9]
ZnMoRh2: relaxed, PBE.

POSCAR file:
```
ZnMoRh2
1.0
9.174 0.000 0.000
0.000 2.793 0.000
-0.848 0.000 4.550
Zn Mo Rh
2 2 4
direct
0.000 0.000 0.000
0.500 0.500 0.000
0.261 0.500 0.312
0.761 0.000 0.312
0.008 0.500 0.500
0.252 0.000 0.816
0.508 0.000 0.500
0.752 0.500 0.816
```

Computed properties:
Space group: Cm, No. 8
E (eV per cell): -54.95
Total magnetic moment (μB per formula unit): 0.00
ΔH_f (0 K) (meV per atom): -167.2
N(E_F) (states/eV/f.u.): 2.7

[10]
CrTe2As: relaxed, PBE.

POSCAR file:
```
CrTe2As
1.0
3.850 0.000 0.000
0.000 5.075 0.000
0.000 0.000 9.800
Cr Te As
2 4 2
direct
0.000 0.000 0.000
0.000 0.500 0.500
0.000 0.000 0.504
0.000 0.500 0.004
0.500 0.000 0.197
0.500 0.500 0.697
0.500 0.000 0.832
0.500 0.500 0.332
```

Computed properties:
Space group: Amm2, No. 38
Uncorrected formation energy (eV/atom): 0.04
E (eV per cell): -40.80
Total magnetic moment (μB per formula unit): 2.00
N(E_F) (states/eV/f.u.): 2.1

[11]
NiWAu3: relaxed, PBE.

POSCAR file:
```
NiWAu3
1.0
4.610 0.000 0.000
0.000 4.610 0.000
0.000 0.000 4.610
Ni W Au
1 1 3
direct
0.000 0.000 0.000
0.500 0.500 0.500
0.000 0.000 0.500
0.000 0.500 0.000
0.500 0.000 0.000
```

Computed properties:
Space group: Pm-3m, No. 221
E (eV per cell): -21.05
Polymorph energy (0 for the lowest one) (eV/atom): 0.0000
Total magnetic moment (μB per formula unit): 0.00
ΔH_f (0 K) (meV per atom): 1503.6
N(E_F) (states/eV/f.u.): 14.5

[12]
PmDy2Sc7: relaxed, PBE.

POSCAR file:
```
PmDy2Sc7
1.0
3.021 -13.635 0.000
3.021 13.635 0.000
0.000 0.000 3.332
Pm Dy Sc
1 2 7
direct
0.000 0.000 0.000
0.289 0.711 0.500
0.711 0.289 0.500
0.148 0.348 0.500
0.183 0.817 0.000
0.348 0.148 0.500
0.500 0.500 0.500
0.652 0.852 0.500
0.817 0.183 0.000
0.852 0.652 0.500
```

Computed properties:
Space group: Cmmm, No. 65
E (eV per cell): -56.67
Total magnetic moment (μB per formula unit): 0.01
ΔH_f (0 K) (meV per atom): 160.7
N(E_F) (states/eV/f.u.): 16.5

> Which value of E does entry 11 give?

-21.05 eV per cell

> Look up the N(E_F) of the twelfth one.

16.5 states/eV/f.u.

What did the eleventh record say?
NiWAu3: relaxed, PBE.

POSCAR file:
```
NiWAu3
1.0
4.610 0.000 0.000
0.000 4.610 0.000
0.000 0.000 4.610
Ni W Au
1 1 3
direct
0.000 0.000 0.000
0.500 0.500 0.500
0.000 0.000 0.500
0.000 0.500 0.000
0.500 0.000 0.000
```

Computed properties:
Space group: Pm-3m, No. 221
E (eV per cell): -21.05
Polymorph energy (0 for the lowest one) (eV/atom): 0.0000
Total magnetic moment (μB per formula unit): 0.00
ΔH_f (0 K) (meV per atom): 1503.6
N(E_F) (states/eV/f.u.): 14.5

Please write out number 1 again, unchanged.
InCu2IrRu: relaxed, PBE.

POSCAR file:
```
InCu2IrRu
1.0
4.656 0.000 0.000
0.000 4.656 0.000
0.000 0.000 4.673
In Cu Ir Ru
1 2 1 1
direct
0.000 0.000 0.000
0.000 0.500 0.500
0.500 0.000 0.500
0.500 0.500 0.500
0.500 0.500 0.000
```

Computed properties:
Space group: P4/mmm, No. 123
E (eV per cell): -24.00
Total magnetic moment (μB per formula unit): 0.00
ΔH_f (0 K) (meV per atom): 1013.4
N(E_F) (states/eV/f.u.): 5.3